Here is a geometry-optimized Pu4SbSe3 structure from the Alexandria database. Energies are from GGA-PBE.

## Properties
Symmetry = P2/m (10)
Excess energy over the best structure of this formula in the dataset = 0.000 eV/atom
Energy relative to the elements, uncorrected = -1255 meV/atom
Volume = 26.5 A^3/atom

a b c (Å): 4.2032 7.3451 7.2851
angles (deg): 70.68 90.00 90.00
With the nearest neighbours (Å) after each atom.
Element x y z (fractional)
Se  0.0000  0.0002  0.9999  6 Pu 2.98
Se  0.9999  0.5001  0.5001  6 Pu 2.98-2.99
Se  0.5000  0.0001  0.5000  6 Pu 2.91
Sb  0.5000  0.5001  0.9999  6 Pu 3.05-3.06
Pu  0.0000  0.7623  0.7378  4 Se 2.91-2.99, 2 Sb 3.06
Pu  0.5000  0.7562  0.2558  5 Se 2.91-2.98, 1 Sb 3.06
Pu  0.0000  0.2380  0.2622  4 Se 2.91-2.99, 2 Sb 3.06
Pu  0.4999  0.2440  0.7441  5 Se 2.91-2.98, 1 Sb 3.05